Entry 1:
Compound: CeHfZnPt
Source: the Alexandria database
Functional: GGA-PBE
Structure: optimized geometry

Properties
ΔH_f (0 K) ... -0.453 eV per atom

a = 6.9207 Å, b = 6.9207 Å, c = 6.9207 Å
α = 90.00°, β = 90.00°, γ = 90.00°
Closest atoms and distances in Å follow each position.
Space group F-43m (No. 216)
One atom of each set of equivalent atoms:
Ce: 0.0000 0.0000 0.0000  4 Zn 3.00, 4 Pt 3.00
Hf: 0.0000 0.0000 0.5000  4 Pt 3.00, 4 Zn 3.00
Zn: 0.2500 0.2500 0.7500  4 Hf 3.00, 4 Ce 3.00
Pt: 0.2500 0.2500 0.2500  4 Hf 3.00, 4 Ce 3.00

Entry 2:
Compound: ScAl6Ag6
Source: the Alexandria database
Functional: GGA-PBE
Structure: optimized geometry

Properties
ΔH_f (0 K) ... -0.131 eV per atom

a = 5.3432 Å, b = 9.0270 Å, c = 9.3851 Å
α = 90.00°, β = 90.00°, γ = 90.00°
Closest atoms and distances in Å follow each position.
Space group Immm (No. 71)
One atom of each set of equivalent atoms:
Sc: 0.0000 0.0000 0.0000  8 Ag 3.02-3.22
Al: 0.0000 0.2687 0.5000  4 Al 2.71, 6 Ag 2.72-2.84
Al: 0.2500 0.2500 0.2500  4 Al 2.67-2.71, 6 Ag 2.69-2.80
Ag: 0.0000 0.0000 0.3432  6 Al 2.76-2.84, 3 Ag 2.94-3.05
Ag: 0.0000 0.3342 0.0000  6 Al 2.80-2.83, 1 Ag 2.99, 1 Sc 3.02
Ag: 0.0000 0.5000 0.3140  6 Al 2.69-2.72

Entry 3:
Compound: CaRhPb4
Source: the Alexandria database
Functional: GGA-PBE
Structure: optimized geometry

Properties
ΔH_f (0 K) ... 0.285 eV per atom

a = 8.9356 Å, b = 8.9356 Å, c = 8.9356 Å
α = 90.00°, β = 90.00°, γ = 90.00°
Closest atoms and distances in Å follow each position.
Space group F-43m (No. 216)
One atom of each set of equivalent atoms:
Ca: 0.0000 0.0000 0.0000  12 Pb 3.71, 4 Rh 3.87
Rh: 0.2500 0.2500 0.2500  12 Pb 3.70, 4 Ca 3.87
Pb: 0.1244 0.1244 0.6244  6 Pb 3.14-3.18

Entry 4:
Compound: Dy3Ho6Er2Zr
Source: the Alexandria database
Functional: GGA-PBE
Structure: optimized geometry

Properties
ΔH_f (0 K) ... 0.041 eV per atom

a = 6.0562 Å, b = 10.4694 Å, c = 11.5659 Å
α = 90.00°, β = 99.95°, γ = 90.00°
Closest atoms and distances in Å follow each position.
Space group C2/m (No. 12)
One atom of each set of equivalent atoms:
Dy: 0.0000 0.0000 0.0000  6 Dy 3.49, 6 Ho 3.53-3.57
Dy: 0.0000 0.3334 0.0000  6 Dy 3.49-3.50, 6 Ho 3.53-3.57
Ho: 0.2447 0.3364 0.7444  1 Zr 3.42, 6 Ho 3.42-3.53, 2 Er 3.45, 3 Dy 3.53-3.57
Ho: 0.2456 0.5000 0.2561  1 Zr 3.41, 6 Ho 3.43-3.53, 2 Er 3.45, 3 Dy 3.54-3.57
Er: 0.0000 0.1670 0.5000  6 Ho 3.45, 3 Zr 3.49-3.50, 3 Er 3.49-3.50
Zr: 0.0000 0.5000 0.5000  6 Ho 3.41-3.42, 6 Er 3.49-3.50

Entry 5:
Compound: Sm3Dy2Sc4
Source: the Alexandria database
Functional: GGA-PBE
Structure: optimized geometry

Properties
ΔH_f (0 K) ... 0.117 eV per atom

a = 15.9777 Å, b = 11.3260 Å, c = 5.8142 Å
α = 90.00°, β = 97.48°, γ = 90.00°
Closest atoms and distances in Å follow each position.
Space group C2/c (No. 15)
One atom of each set of equivalent atoms:
Sm: 0.0000 0.1495 0.2500  2 Sc 3.20, 6 Dy 3.47-3.53
Sm: 0.1630 0.3823 0.1002  8 Sc 3.18-3.47, 2 Dy 3.48-3.54
Dy: 0.1173 0.1155 0.7914  4 Sc 3.34-3.51, 5 Sm 3.47-3.54, 1 Dy 3.72
Sc: 0.0534 0.3820 0.5451  3 Sc 3.11-3.43, 5 Sm 3.18-3.47, 1 Dy 3.44
Sc: 0.2310 0.1365 0.3491  2 Sc 3.13-3.43, 4 Sm 3.26-3.43, 2 Dy 3.34-3.38

Entry 6:
Compound: U2NbMoC4
Source: the Alexandria database
Functional: GGA-PBE
Structure: optimized geometry

Properties
ΔH_f (0 K) ... -0.303 eV per atom

a = 5.6346 Å, b = 3.2671 Å, c = 5.8233 Å
α = 90.00°, β = 108.88°, γ = 90.00°
Closest atoms and distances in Å follow each position.
Space group P2/m (No. 10)
One atom of each set of equivalent atoms:
U: 0.0000 0.0000 0.0000  6 C 2.42
U: 0.5000 0.5000 0.0000  6 C 2.40
Nb: 0.0000 0.5000 0.5000  6 C 2.27
Mo: 0.5000 0.0000 0.5000  6 C 2.25
C: 0.2455 0.0000 0.7281  1 Mo 2.25, 2 Nb 2.27, 3 U 2.40-2.42
C: 0.2609 0.5000 0.2736  2 Mo 2.25, 1 Nb 2.27, 3 U 2.40-2.42

Let's list D(E_F) in order: 1.4651, 0.3003, 0.7414, 1.2392, 1.6265, 0.8633 states/eV/atom.
Let's list size of the total moment in order: 0.42, 0.00, 0.00, 0.00, 0.00, 0.06 μB/f.u..